(1)
Computed, not measured: crystalline TbB4 at its relaxed geometry at the PBE-GGA level of DFT.

Values from the calculation:
Space-group type: P4/mbm, No. 127
Uncorrected energy in Ha/atom: -0.211
Calculated density in g cm⁻³: 4.4
ΔE to the lowest computed polymorph in eV/atom: 1.136
Energy of formation in eV per atom: 0.54

abc: 8.5239 8.5239 4.2002
angles: 90.00 90.00 90.00
Sites, in units of the cell vectors:
Tb 0.6393 0.1393 0.0000
Tb 0.8607 0.6393 0.0000
Tb 0.1393 0.3607 0.0000
Tb 0.3607 0.8607 0.0000
B 0.4440 0.3722 0.0000
B 0.5560 0.6278 0.0000
B 0.3722 0.5560 0.0000
B 0.6278 0.4440 0.0000
B 0.0000 0.0000 0.3077
B 0.5000 0.5000 0.6923
B 0.0000 0.0000 0.6923
B 0.5000 0.5000 0.3077
B 0.0643 0.5643 0.5000
B 0.4357 0.0643 0.5000
B 0.5643 0.9357 0.5000
B 0.9357 0.4357 0.5000
B 0.1278 0.0560 0.0000
B 0.9440 0.1278 0.0000
B 0.0560 0.8722 0.0000
B 0.8722 0.9440 0.0000


(2)
Computed, not measured: crystalline Tb3Tc2B9 at its relaxed geometry at the PBE-GGA level of DFT.

Values from the calculation:
Space-group type: Immm, No. 71
Uncorrected energy in Ha/atom: -0.258
Calculated density in g cm⁻³: 7.5
Energy of formation in eV per atom: -0.27

abc: 3.1398 8.0051 8.0051
angles: 60.65 78.69 78.69
Sites, in units of the cell vectors:
Tb 0.0000 0.0000 0.0000
Tb 0.7318 0.2682 0.2682
Tb 0.2682 0.7318 0.7318
Tc 0.5000 0.3245 0.6755
Tc 0.5000 0.6755 0.3245
B 0.0000 0.5000 0.5000
B 0.6374 0.0457 0.6795
B 0.3626 0.9543 0.3205
B 0.6374 0.6795 0.0457
B 0.3626 0.3205 0.9543
B 0.8733 0.8747 0.3787
B 0.1267 0.1253 0.6213
B 0.8733 0.3787 0.8747
B 0.1267 0.6213 0.1253


(3)
Computed, not measured: crystalline TbTc6B4 at its relaxed geometry at the PBE-GGA level of DFT.

Values from the calculation:
Space-group type: I-42m, No. 121
Uncorrected energy in Ha/atom: -0.318
Calculated density in g cm⁻³: 9.8
Energy of formation in eV per atom: -0.14

abc: 5.7886 5.7886 5.7886
angles: 87.77 121.30 121.30
Sites, in units of the cell vectors:
Tb 0.0000 0.0000 0.0000
Tc 0.0000 0.9159 0.5280
Tc 0.0000 0.5280 0.9159
Tc 0.6121 0.0841 0.0841
Tc 0.5000 0.0000 0.5000
Tc 0.3879 0.4720 0.4720
Tc 0.5000 0.5000 0.0000
B 0.0000 0.2983 0.5760
B 0.7223 0.4240 0.4240
B 0.0000 0.5760 0.2983
B 0.2777 0.7017 0.7017


(4)
Computed, not measured: crystalline Tb2Tc3B4 at its relaxed geometry at the PBE-GGA level of DFT.

Values from the calculation:
Space-group type: P2_1/c, No. 14
Uncorrected energy in Ha/atom: -0.289
Calculated density in g cm⁻³: 9.5
ΔE to the lowest computed polymorph in eV/atom: 0.000
Energy of formation in eV per atom: -0.40

abc: 6.0654 6.2779 6.3358
angles: 90.00 90.00 107.87
Sites, in units of the cell vectors:
Tb 0.5776 0.1919 0.3322
Tb 0.9224 0.8081 0.8322
Tb 0.4224 0.8081 0.6678
Tb 0.0776 0.1919 0.1678
Tc 0.0000 0.5000 0.5000
Tc 0.5000 0.5000 0.0000
Tc 0.7537 0.2562 0.8253
Tc 0.7463 0.7438 0.3253
Tc 0.2463 0.7438 0.1747
Tc 0.2537 0.2562 0.6747
B 0.8964 0.0832 0.5400
B 0.6036 0.9168 0.0400
B 0.1036 0.9168 0.4600
B 0.3964 0.0832 0.9600
B 0.8834 0.5068 0.1160
B 0.6166 0.4932 0.6160
B 0.1166 0.4932 0.8840
B 0.3834 0.5068 0.3840


(5)
Computed, not measured: crystalline Tb2TcB6 at its relaxed geometry at the PBE-GGA level of DFT.

Values from the calculation:
Space-group type: C2/m, No. 12
Uncorrected energy in Ha/atom: -0.248
Calculated density in g cm⁻³: 7.0
ΔE to the lowest computed polymorph in eV/atom: 0.240
Energy of formation in eV per atom: -0.10

abc: 5.5937 4.8500 5.1443
angles: 118.13 70.91 90.00
Sites, in units of the cell vectors:
Tb 0.1885 0.6211 0.2422
Tb 0.8115 0.3789 0.7578
Tc 0.0000 0.0000 0.0000
B 0.6199 0.9769 0.3016
B 0.6309 0.6952 0.3905
B 0.6199 0.3247 0.3016
B 0.3801 0.0231 0.6984
B 0.3691 0.3048 0.6095
B 0.3801 0.6753 0.6984


(6)
Computed, not measured: crystalline TbTc2B6 at its relaxed geometry at the PBE-GGA level of DFT.

Values from the calculation:
Space-group type: P6/mmm, No. 191
Uncorrected energy in Ha/atom: -0.278
Calculated density in g cm⁻³: 8.0
ΔE to the lowest computed polymorph in eV/atom: 0.180
Energy of formation in eV per atom: -0.29

abc: 3.5328 5.3225 5.3225
angles: 120.00 90.00 90.00
Sites, in units of the cell vectors:
Tb 0.0000 0.0000 0.0000
Tc 0.0000 0.3333 0.6667
Tc 0.0000 0.6667 0.3333
B 0.5000 0.3413 0.3413
B 0.5000 0.6587 0.6587
B 0.5000 0.0000 0.6587
B 0.5000 0.6587 0.0000
B 0.5000 0.3413 0.0000
B 0.5000 0.0000 0.3413